Record 1
Here is a relaxed Ho12SnRh6 crystal from the Alexandria database. Energies are from PBE.

The calculated formation energy comes out at -63.0 kJ per mole of atoms. As for the density of states at the Fermi level: 28.17 states/eV per cell. The value obtained for the uncorrected energy is -230.92 eV per cell.

It has space group Im-3 (No. 204), with a = 9.838 Å, b = 9.838 Å, c = 9.838 Å, α = 90.00°, β = 90.00° and γ = 90.00°. The asymmetric unit holds Ho at (0.000, 0.190, 0.300), Sn at (0.000, 0.000, 0.000) and Rh at (0.000, 0.370, 0.500).


Record 2
Here is a relaxed Ho8Sn2Rh crystal from the Alexandria database. Energies are from PBE.

The calculated formation energy comes out at -43.3 kJ per mole of atoms. As for the density of states at the Fermi level: 18.78 states/eV per cell. The value obtained for the uncorrected energy is -113.84 eV per cell.

It has space group C2/m (No. 12), with a = 19.075 Å, b = 4.943 Å, c = 6.660 Å, α = 90.00°, β = 104.38° and γ = 90.00°. The asymmetric unit holds Ho at (0.019, 0.000, 0.282), Ho at (0.090, 0.500, 0.965), Ho at (0.145, 0.500, 0.502), Ho at (0.217, 0.000, 0.822), Sn at (0.182, 0.000, 0.261) and Rh at (0.000, 0.500, 0.500).


Record 3
Here is a relaxed HoSn6Rh crystal from the Alexandria database. Energies are from PBE.

The calculated formation energy comes out at -19.9 kJ per mole of atoms. As for the density of states at the Fermi level: 9.23 states/eV per cell. The value obtained for the uncorrected energy is -75.19 eV per cell.

It has space group C2/m (No. 12), with a = 6.326 Å, b = 10.917 Å, c = 6.475 Å, α = 90.00°, β = 113.92° and γ = 90.00°. The asymmetric unit holds Ho at (0.000, 0.000, 0.000), Sn at (0.048, 0.500, 0.279), Sn at (0.110, 0.224, 0.748) and Rh at (0.000, 0.000, 0.500).


Record 4
Here is a relaxed Ho5SnRh4 crystal from the Alexandria database. Energies are from PBE.

The calculated formation energy comes out at -82.2 kJ per mole of atoms. As for the density of states at the Fermi level: 3.06 states/eV per cell. The value obtained for the uncorrected energy is -64.82 eV per cell.

It has space group P4/mmm (No. 123), with a = 3.345 Å, b = 3.345 Å, c = 18.903 Å, α = 90.00°, β = 90.00° and γ = 90.00°. The asymmetric unit holds Ho at (0.000, 0.000, 0.000), Ho at (0.000, 0.000, 0.187), Ho at (0.000, 0.000, 0.373), Sn at (0.500, 0.500, 0.500), Rh at (0.500, 0.500, 0.093) and Rh at (0.500, 0.500, 0.282).


Record 5
Here is a relaxed Ho7Sn2Rh2 crystal from the Alexandria database. Energies are from PBE.

The calculated formation energy comes out at -49.2 kJ per mole of atoms. As for the density of states at the Fermi level: 17.55 states/eV per cell. The value obtained for the uncorrected energy is -120.71 eV per cell.

It has space group Cmmm (No. 65), with a = 8.140 Å, b = 10.821 Å, c = 7.075 Å, α = 90.00°, β = 90.00° and γ = 90.00°. The asymmetric unit holds Ho at (0.000, 0.000, 0.000), Ho at (0.000, 0.500, 0.237), Ho at (0.250, 0.250, 0.248), Sn at (0.183, 0.000, 0.500) and Rh at (0.000, 0.285, 0.000).


Record 6
Here is a relaxed Ho5SnRh2 crystal from the Alexandria database. Energies are from PBE.

The calculated formation energy comes out at -69.8 kJ per mole of atoms. As for the density of states at the Fermi level: 31.59 states/eV per cell. The value obtained for the uncorrected energy is -189.54 eV per cell.

It has space group I4/mcm (No. 140), with a = 7.740 Å, b = 7.740 Å, c = 13.348 Å, α = 90.00°, β = 90.00° and γ = 90.00°. The asymmetric unit holds Ho at (0.000, 0.000, 0.000), Ho at (0.158, 0.342, 0.136), Sn at (0.000, 0.000, 0.250) and Rh at (0.139, 0.361, 0.500).


Record 7
Here is a relaxed HoSnRh2 crystal from the Alexandria database. Energies are from PBE.

The calculated formation energy comes out at -76.0 kJ per mole of atoms. As for the density of states at the Fermi level: 2.98 states/eV per cell. The value obtained for the uncorrected energy is -26.44 eV per cell.

It has space group P4/mmm (No. 123), with a = 4.551 Å, b = 4.551 Å, c = 3.530 Å, α = 90.00°, β = 90.00° and γ = 90.00°. The asymmetric unit holds Ho at (0.000, 0.000, 0.000), Sn at (0.500, 0.500, 0.000) and Rh at (0.000, 0.500, 0.500).


Record 8
Here is a relaxed Ho3SnRh crystal from the Alexandria database. Energies are from PBE.

The calculated formation energy comes out at -45.2 kJ per mole of atoms. As for the density of states at the Fermi level: 13.74 states/eV per cell. The value obtained for the uncorrected energy is -109.71 eV per cell.

It has space group Pnma (No. 62), with a = 5.916 Å, b = 10.531 Å, c = 8.172 Å, α = 90.00°, β = 90.00° and γ = 90.00°. The asymmetric unit holds Ho at (0.000, 0.099, 0.141), Ho at (0.249, 0.250, 0.774), Sn at (0.000, 0.000, 0.500) and Rh at (0.067, 0.750, 0.590).


Record 9
Here is a relaxed Ho4SnRh7 crystal from the Alexandria database. Energies are from PBE.

The calculated formation energy comes out at -44.5 kJ per mole of atoms. As for the density of states at the Fermi level: 20.05 states/eV per cell. The value obtained for the uncorrected energy is -158.62 eV per cell.

It has space group C2/m (No. 12), with a = 10.999 Å, b = 5.014 Å, c = 9.932 Å, α = 90.00°, β = 120.10° and γ = 90.00°. The asymmetric unit holds Ho at (0.093, 0.000, 0.281), Ho at (0.234, 0.500, 0.157), Sn at (0.000, 0.500, 0.500), Rh at (0.000, 0.000, 0.500), Rh at (0.083, 0.500, 0.804), Rh at (0.128, 0.000, 0.012) and Rh at (0.205, 0.500, 0.415).


Record 10
Here is a relaxed Ho6Sn2Rh crystal from the Alexandria database. Energies are from PBE.

The calculated formation energy comes out at -43.3 kJ per mole of atoms. As for the density of states at the Fermi level: 13.65 states/eV per cell. The value obtained for the uncorrected energy is -93.72 eV per cell.

It has space group Immm (No. 71), with a = 5.094 Å, b = 7.110 Å, c = 14.864 Å, α = 90.00°, β = 90.00° and γ = 90.00°. The asymmetric unit holds Ho at (0.000, 0.229, 0.000), Ho at (0.000, 0.259, 0.348), Sn at (0.000, 0.500, 0.172) and Rh at (0.000, 0.500, 0.500).


Record 11
Here is a relaxed HoSn2Rh4 crystal from the Alexandria database. Energies are from PBE.

The calculated formation energy comes out at -44.9 kJ per mole of atoms. As for the density of states at the Fermi level: 21.50 states/eV per cell. The value obtained for the uncorrected energy is -180.98 eV per cell.

It has space group Fmmm (No. 69), with a = 5.575 Å, b = 9.031 Å, c = 10.079 Å, α = 90.00°, β = 90.00° and γ = 90.00°. The asymmetric unit holds Ho at (0.000, 0.000, 0.000), Sn at (0.000, 0.000, 0.319), Rh at (0.000, 0.207, 0.500) and Rh at (0.250, 0.250, 0.250).


Record 12
Here is a relaxed Ho2SnRh crystal from the Alexandria database. Energies are from PBE.

The calculated formation energy comes out at -75.5 kJ per mole of atoms. As for the density of states at the Fermi level: 2.21 states/eV per cell. The value obtained for the uncorrected energy is -23.64 eV per cell.

It has space group P4/mmm (No. 123), with a = 3.434 Å, b = 3.434 Å, c = 7.865 Å, α = 90.00°, β = 90.00° and γ = 90.00°. The asymmetric unit holds Ho at (0.000, 0.000, 0.214), Sn at (0.500, 0.500, 0.500) and Rh at (0.500, 0.500, 0.000).


Record 13
Here is a relaxed Ho3SnRh4 crystal from the Alexandria database. Energies are from PBE.

The calculated formation energy comes out at -81.3 kJ per mole of atoms. As for the density of states at the Fermi level: 18.71 states/eV per cell. The value obtained for the uncorrected energy is -161.66 eV per cell.

It has space group R-3m (No. 166, hexagonal axes), with a = 4.7555 Å, b = 4.7555 Å, c = 23.3290 Å, α = 90.00°, β = 90.00° and γ = 120.00°. The asymmetric unit holds Ho at (0.0000, 0.0000, 0.0000), Ho at (0.0000, 0.0000, 0.2461), Sn at (0.0000, 0.0000, 0.5000), Rh at (0.0000, 0.0000, 0.1244) and Rh at (0.0000, 0.0000, 0.3766).


Record 14
Here is a relaxed HoSn4Rh crystal from the Alexandria database. Energies are from PBE.

The calculated formation energy comes out at -24.6 kJ per mole of atoms. As for the density of states at the Fermi level: 8.41 states/eV per cell. The value obtained for the uncorrected energy is -58.94 eV per cell.

It has space group I-4 (No. 82), with a = 6.822 Å, b = 6.822 Å, c = 6.091 Å, α = 90.00°, β = 90.00° and γ = 90.00°. The asymmetric unit holds Ho at (0.000, 0.000, 0.000), Sn at (0.138, 0.739, 0.398) and Rh at (0.000, 0.500, 0.750).


Record 15
Here is a relaxed Ho2SnRh crystal from the Alexandria database. Energies are from PBE.

The calculated formation energy comes out at -77.3 kJ per mole of atoms. As for the density of states at the Fermi level: 4.29 states/eV per cell. The value obtained for the uncorrected energy is -47.43 eV per cell.

It has space group P2_1/m (No. 11), with a = 6.232 Å, b = 3.902 Å, c = 8.581 Å, α = 90.00°, β = 109.22° and γ = 90.00°. The asymmetric unit holds Ho at (0.170, 0.250, 0.392), Ho at (0.253, 0.750, 0.046), Sn at (0.378, 0.750, 0.703) and Rh at (0.118, 0.250, 0.797).


Record 16
Here is a relaxed HoSn2Rh3 crystal from the Alexandria database. Energies are from PBE.

The calculated formation energy comes out at -67.0 kJ per mole of atoms. As for the density of states at the Fermi level: 4.87 states/eV per cell. The value obtained for the uncorrected energy is -38.81 eV per cell.

It has space group P-3m1 (No. 164), with a = 4.6577 Å, b = 4.6577 Å, c = 5.7817 Å, α = 90.00°, β = 90.00° and γ = 120.00°. The asymmetric unit holds Ho at (0.0000, 0.0000, 0.0000), Sn at (0.3333, 0.6667, 0.6924), Rh at (0.0000, 0.0000, 0.5000) and Rh at (0.3333, 0.6667, 0.2258).


Record 17
Here is a relaxed HoSn2Rh crystal from the Alexandria database. Energies are from PBE.

The calculated formation energy comes out at -65.4 kJ per mole of atoms. As for the density of states at the Fermi level: 15.93 states/eV per cell. The value obtained for the uncorrected energy is -181.18 eV per cell.

It has space group Pnma (No. 62), with a = 16.493 Å, b = 7.300 Å, c = 5.863 Å, α = 90.00°, β = 90.00° and γ = 90.00°. The asymmetric unit holds Ho at (0.110, 0.250, 0.241), Ho at (0.144, 0.750, 0.475), Sn at (0.031, 0.040, 0.744), Sn at (0.217, 0.543, 0.977), Rh at (0.080, 0.750, 0.010) and Rh at (0.165, 0.250, 0.717).


Record 18
Here is a relaxed HoSn2Rh crystal from the Alexandria database. Energies are from PBE.

The calculated formation energy comes out at -57.5 kJ per mole of atoms. As for the density of states at the Fermi level: 4.71 states/eV per cell. The value obtained for the uncorrected energy is -66.95 eV per cell.

It has space group R-3m (No. 166, hexagonal axes), with a = 4.4775 Å, b = 4.4775 Å, c = 15.4975 Å, α = 90.00°, β = 90.00° and γ = 120.00°. The asymmetric unit holds Ho at (0.0000, 0.0000, 0.0000), Sn at (0.0000, 0.0000, 0.2255) and Rh at (0.0000, 0.0000, 0.5000).


Record 19
Here is a relaxed HoSnRh3 crystal from the Alexandria database. Energies are from PBE.

The calculated formation energy comes out at -50.5 kJ per mole of atoms. As for the density of states at the Fermi level: 15.56 states/eV per cell. The value obtained for the uncorrected energy is -133.02 eV per cell.

It has space group Imma (No. 74), with a = 5.561 Å, b = 7.555 Å, c = 8.941 Å, α = 90.00°, β = 90.00° and γ = 90.00°. The asymmetric unit holds Ho at (0.000, 0.250, 0.015), Sn at (0.000, 0.000, 0.500), Rh at (0.000, 0.250, 0.710) and Rh at (0.250, 0.056, 0.250).


Record 20
Here is a relaxed Ho2SnRh3 crystal from the Alexandria database. Energies are from PBE.

The calculated formation energy comes out at -62.0 kJ per mole of atoms. As for the density of states at the Fermi level: 10.84 states/eV per cell. The value obtained for the uncorrected energy is -156.27 eV per cell.

It has space group C2/c (No. 15), with a = 13.200 Å, b = 5.544 Å, c = 6.714 Å, α = 90.00°, β = 104.94° and γ = 90.00°. The asymmetric unit holds Ho at (0.174, 0.006, 0.085), Sn at (0.000, 0.304, 0.250), Rh at (0.000, 0.179, 0.750) and Rh at (0.141, 0.495, 0.573).